Entry 1:
# ZrMnCo2

ZrMnCo2 after structural relaxation (PBE, Alexandria via LeMat-Bulk).

Properties
**Calculated volume**: 58.96 Å³ per cell
**Energy of formation**: 0.349 eV/atom
**Total magnetic moment**: 6.4 μB per formula unit

a = 8.801 Å, b = 8.801 Å, c = 8.801 Å
α = 18.34°, β = 18.34°, γ = 18.34°
Element x y z (fractional)
1 Zr 0.000 0.000 0.000
2 Mn 0.762 0.762 0.762
3 Co 0.241 0.241 0.241
4 Co 0.505 0.505 0.505

---

Entry 2:
# ZrMn2Co

ZrMn2Co after structural relaxation (PBE, Alexandria via LeMat-Bulk).

Properties
**Calculated volume**: 57.17 Å³ per cell
**Energy of formation**: 0.100 eV/atom
**Total magnetic moment**: 6.3 μB per formula unit

a = 4.324 Å, b = 4.324 Å, c = 4.324 Å
α = 60.00°, β = 60.00°, γ = 60.00°
Element x y z (fractional)
1 Zr 0.000 0.000 0.000
2 Mn 0.250 0.250 0.250
3 Mn 0.750 0.750 0.750
4 Co 0.500 0.500 0.500

---

Entry 3:
# ZrMn2Co

ZrMn2Co after structural relaxation (PBE, Alexandria via LeMat-Bulk).

Properties
**Calculated volume**: 56.08 Å³ per cell
**Energy of formation**: 0.019 eV/atom
**Total magnetic moment**: 3.0 μB per formula unit

a = 4.296 Å, b = 4.296 Å, c = 4.296 Å
α = 60.00°, β = 60.00°, γ = 60.00°
Element x y z (fractional)
1 Zr 0.000 0.000 0.000
2 Mn 0.250 0.250 0.250
3 Mn 0.500 0.500 0.500
4 Co 0.750 0.750 0.750

---

Entry 4:
# Zr4MnCo3

Zr4MnCo3 after structural relaxation (PBE, Alexandria via LeMat-Bulk).

Properties
**Calculated volume**: 129.58 Å³ per cell
**Energy of formation**: -0.236 eV/atom
**Total magnetic moment**: 1.3 μB per formula unit

a = 3.193 Å, b = 3.193 Å, c = 12.710 Å
α = 90.00°, β = 90.00°, γ = 90.00°
Element x y z (fractional)
1 Zr 0.000 0.000 0.123
2 Zr 0.000 0.000 0.374
3 Zr 0.000 0.000 0.626
4 Zr 0.000 0.000 0.877
5 Mn 0.500 0.500 0.000
6 Co 0.500 0.500 0.252
7 Co 0.500 0.500 0.500
8 Co 0.500 0.500 0.748

---

Entry 5:
# ZrMnCo

ZrMnCo after structural relaxation (PBE, Alexandria via LeMat-Bulk).

Properties
**Polymorph energy (0 for the lowest one)**: 0.0000 eV per atom
**Calculated volume**: 87.00 Å³ per cell
**Energy of formation**: -0.257 eV/atom
**Total magnetic moment**: 2.3 μB per formula unit

a = 4.951 Å, b = 4.951 Å, c = 4.951 Å
α = 119.56°, β = 118.54°, γ = 91.66°
Element x y z (fractional)
1 Zr 0.376 0.126 0.250
2 Zr 0.624 0.874 0.750
3 Mn 0.000 0.000 0.500
4 Mn 0.000 0.500 0.000
5 Co 0.000 0.500 0.500
6 Co 0.500 0.500 0.000

---

Entry 6:
# ZrMnCo2

ZrMnCo2 after structural relaxation (PBE, Alexandria via LeMat-Bulk).

Properties
**Calculated volume**: 58.48 Å³ per cell
**Energy of formation**: 0.300 eV/atom
**Total magnetic moment**: 5.9 μB per formula unit

a = 8.388 Å, b = 8.388 Å, c = 8.388 Å
α = 19.67°, β = 19.67°, γ = 19.67°
Element x y z (fractional)
1 Zr 0.000 0.000 0.000
2 Mn 0.500 0.500 0.500
3 Co 0.244 0.244 0.244
4 Co 0.756 0.756 0.756

---

Entry 7:
# Zr3Mn7Co2

Zr3Mn7Co2 after structural relaxation (PBE, Alexandria via LeMat-Bulk).

Properties
**Calculated volume**: 164.04 Å³ per cell
**Energy of formation**: -0.138 eV/atom
**Total magnetic moment**: 6.2 μB per formula unit

a = 8.635 Å, b = 8.635 Å, c = 8.635 Å
α = 32.37°, β = 32.37°, γ = 32.37°
Element x y z (fractional)
1 Zr 0.000 0.000 0.000
2 Zr 0.140 0.140 0.140
3 Zr 0.860 0.860 0.860
4 Mn 0.077 0.584 0.584
5 Mn 0.416 0.416 0.923
6 Mn 0.416 0.923 0.416
7 Mn 0.500 0.500 0.500
8 Mn 0.584 0.077 0.584
9 Mn 0.584 0.584 0.077
10 Mn 0.923 0.416 0.416
11 Co 0.335 0.335 0.335
12 Co 0.665 0.665 0.665

---

Entry 8:
# ZrMn2Co

ZrMn2Co after structural relaxation (PBE, Alexandria via LeMat-Bulk).

Properties
**Calculated volume**: 58.09 Å³ per cell
**Energy of formation**: 0.412 eV/atom
**Total magnetic moment**: 5.8 μB per formula unit

a = 8.757 Å, b = 8.757 Å, c = 8.757 Å
α = 18.34°, β = 18.34°, γ = 18.34°
Element x y z (fractional)
1 Zr 0.000 0.000 0.000
2 Mn 0.238 0.238 0.238
3 Mn 0.495 0.495 0.495
4 Co 0.758 0.758 0.758

---

Entry 9:
# ZrMnCo2

ZrMnCo2 after structural relaxation (PBE, Alexandria via LeMat-Bulk).

Properties
**Calculated volume**: 57.56 Å³ per cell
**Energy of formation**: 0.006 eV/atom
**Total magnetic moment**: 4.3 μB per formula unit

a = 3.106 Å, b = 3.895 Å, c = 5.002 Å
α = 90.00°, β = 107.99°, γ = 90.00°
Element x y z (fractional)
1 Zr 0.000 0.000 0.000
2 Mn 0.300 0.500 0.603
3 Co 0.585 0.500 0.170
4 Co 0.735 0.000 0.475

---

Entry 10:
# ZrMn2Co

ZrMn2Co after structural relaxation (PBE, Alexandria via LeMat-Bulk).

Properties
**Calculated volume**: 61.89 Å³ per cell
**Energy of formation**: 0.359 eV/atom
**Total magnetic moment**: 8.1 μB per formula unit

a = 8.932 Å, b = 8.932 Å, c = 8.932 Å
α = 18.38°, β = 18.38°, γ = 18.38°
Element x y z (fractional)
1 Zr 0.000 0.000 0.000
2 Mn 0.239 0.239 0.239
3 Mn 0.761 0.761 0.761
4 Co 0.500 0.500 0.500

---

Entry 11:
# ZrMn2Co

ZrMn2Co after structural relaxation (PBE, Alexandria via LeMat-Bulk).

Properties
**Calculated volume**: 60.28 Å³ per cell
**Energy of formation**: 0.044 eV/atom
**Total magnetic moment**: 7.3 μB per formula unit

a = 5.161 Å, b = 5.161 Å, c = 5.161 Å
α = 144.43°, β = 130.33°, γ = 62.58°
Element x y z (fractional)
1 Zr 0.000 0.000 0.000
2 Mn 0.273 0.773 0.500
3 Mn 0.727 0.227 0.500
4 Co 0.500 0.500 0.000

---

Entry 12:
# Zr6MnCo5

Zr6MnCo5 after structural relaxation (PBE, Alexandria via LeMat-Bulk).

Properties
**Calculated volume**: 194.80 Å³ per cell
**Energy of formation**: -0.252 eV/atom
**Total magnetic moment**: 3.1 μB per formula unit

a = 7.135 Å, b = 7.135 Å, c = 6.363 Å
α = 90.00°, β = 90.00°, γ = 143.03°
Element x y z (fractional)
1 Zr 0.000 0.000 0.249
2 Zr 0.000 0.000 0.751
3 Zr 0.334 0.666 0.250
4 Zr 0.334 0.666 0.750
5 Zr 0.666 0.334 0.250
6 Zr 0.666 0.334 0.750
7 Mn 0.500 0.500 0.000
8 Co 0.167 0.833 0.000
9 Co 0.167 0.833 0.500
10 Co 0.500 0.500 0.500
11 Co 0.833 0.167 0.000
12 Co 0.833 0.167 0.500